1.
An optimized crystal structure of Zr2CrTc, computed with PBE.

```
Zr2CrTc
1.0
-2.162 -1.264 -1.583
0.352 -1.331 2.623
-5.688 5.363 3.484
Cr Tc Zr
1 1 2
Cartesian
-2.327 0.043 1.391
-5.171 2.725 3.133
-0.024 0.023 0.015
-2.819 2.659 1.727
```

Output
VASP energy: -9.11 eV/atom
DFT formation energy: 0.16 eV per atom
total moment: 0.0 μB per formula unit


2.
An optimized crystal structure of ZrCr2Tc2, computed with PBE.

```
ZrCr2Tc2
1.0
-1.013 3.599 -1.500
-2.888 -1.734 -2.210
-5.257 1.589 1.951
Cr Tc Zr
2 2 1
Cartesian
-4.110 3.061 -0.702
-5.048 0.394 -1.057
-2.769 1.095 -0.913
-6.389 2.359 -0.846
0.000 0.000 0.000
```

Output
ΔE to the lowest computed polymorph: 3.0 kJ per mole of atoms
VASP energy: -9.54 eV/atom
DFT formation energy: 0.17 eV per atom
total moment: 0.0 μB per formula unit


3.
An optimized crystal structure of Zr2CrTc, computed with PBE.

```
Zr2CrTc
1.0
-4.145 3.034 0.911
-1.379 -4.493 -2.262
-1.350 -1.435 2.228
Cr Tc Zr
1 1 2
Cartesian
-2.747 0.799 1.569
-1.365 -2.964 -0.017
0.000 0.000 0.000
-2.762 -0.730 -0.676
```

Output
VASP energy: -9.12 eV/atom
DFT formation energy: 0.15 eV per atom
total moment: 0.0 μB per formula unit


4.
An optimized crystal structure of Zr2Cr3Tc, computed with PBE.

```
Zr2Cr3Tc
1.0
4.509 -0.133 -2.368
-2.866 4.206 -0.218
-0.181 0.135 5.119
Zr Cr Tc
2 3 1
Cartesian
2.287 1.496 -1.212
-0.826 2.712 3.745
0.731 2.104 1.266
-0.091 0.068 2.560
2.164 0.001 1.376
0.000 0.000 0.000
```

Output
VASP energy: -9.54 eV/atom
DFT formation energy: -0.15 eV per atom
total moment: 0.0 μB per formula unit


Q: Among the records above, which one has the highest DFT formation energy?
A: ZrCr2Tc2